[1]
Cd2MoP: relaxed, PBE.

Fermi-level density of states in states/eV per atom: 0.646
Calculated formation energy in eV per atom: 0.155
Size of the total moment in μB per formula unit: 0.0
Final energy in eV/atom: -4.363
Theoretical density in g cm⁻³: 7.8
Space group: Cm

Unit cell a=4.6377 b=4.6377 c=5.7134 alpha=112.89 beta=112.89 gamma=42.17
Last column: nearest neighbours and their distance in Å.
Fractional positions:
Cd1 0.0000 0.0000 0.0000  3 Cd 2.73-2.90, 2 P 2.76, 2 Mo 2.96
Cd2 0.2038 0.2038 0.7410  3 Cd 2.73-2.90, 2 P 2.74, 2 Mo 3.03
Mo1 0.4170 0.4170 0.3590  3 P 2.40-2.60
P1 0.7212 0.7212 0.3732  3 Mo 2.40-2.60

***

[2]
K8TeAu2O: relaxed, PBE.

Fermi-level density of states in states/eV per atom: 0.345
Formation energy (no corrections) in kJ/mol of formula units: -659.7
Size of the total moment in μB per formula unit: 0.0
Final energy in eV/atom: -2.523
Theoretical density in g cm⁻³: 2.6
Space group: P2/m

Unit cell a=7.5750 b=9.5185 c=7.5838 alpha=90.00 beta=91.86 gamma=90.00
Last column: nearest neighbours and their distance in Å.
Fractional positions:
K1 0.1867 0.1991 0.1687  1 O 2.67
K2 0.1867 0.8009 0.1687  1 O 2.67
K3 0.2352 0.0000 0.7439  1 O 2.68
K4 0.2984 0.5000 0.6757  1 Te 3.39, 2 Au 3.42
K5 0.7016 0.5000 0.3243  1 Te 3.39, 2 Au 3.42
K6 0.7648 0.0000 0.2561  1 O 2.68
K7 0.8133 0.1991 0.8313  1 O 2.67
K8 0.8133 0.8009 0.8313  1 O 2.67
Te1 0.0000 0.5000 0.0000  6 K 3.39-3.42
Au1 0.5000 0.2127 0.5000  6 K 3.40-3.43
Au2 0.5000 0.7873 0.5000  6 K 3.40-3.43
O1 0.0000 0.0000 0.0000  6 K 2.67-2.68

***

[3]
Rb2MnBeOs: relaxed, PBE.

Fermi-level density of states in states/eV per atom: 0.759
Calculated formation energy in eV per atom: 1.568
Size of the total moment in μB per formula unit: 5.9
Final energy in eV/atom: -3.644
Theoretical density in g cm⁻³: 3.8
Space group: P4/mmm

Unit cell a=6.5295 b=6.5295 c=4.3069 alpha=90.00 beta=90.00 gamma=90.00
Last column: nearest neighbours and their distance in Å.
Fractional positions:
Rb1 0.0000 0.5000 0.0000  2 Os 3.26
Rb2 0.5000 0.0000 0.0000  2 Os 3.26
Mn1 0.0000 0.0000 0.5000  8 Rb 3.91, 2 Mn 4.31
Be1 0.5000 0.5000 0.5000  2 Os 2.15
Os1 0.5000 0.5000 0.0000  2 Be 2.15

***

[4]
V3Cr: relaxed, PBE.

Fermi-level density of states in states/eV per atom: 1.678
Calculated formation energy in eV per atom: 0.294
Size of the total moment in μB per formula unit: 0.0
Final energy in eV/atom: -8.951
Theoretical density in g cm⁻³: 6.3
Space group: Pm-3m

Unit cell a=3.7721 b=3.7721 c=3.7721 alpha=90.00 beta=90.00 gamma=90.00
Last column: nearest neighbours and their distance in Å.
Fractional positions:
V1 0.0000 0.0000 0.5000  4 Cr 2.67, 8 V 2.67
V2 0.0000 0.5000 0.0000  4 Cr 2.67, 8 V 2.67
V3 0.5000 0.0000 0.0000  4 Cr 2.67, 8 V 2.67
Cr1 0.5000 0.5000 0.5000  12 V 2.67

***

[5]
BiPPd2: relaxed, PBE.

Fermi-level density of states in states/eV per atom: 0.136
Calculated formation energy in eV per atom: -0.214
Size of the total moment in μB per formula unit: 0.0
Final energy in eV/atom: -5.133
Theoretical density in g cm⁻³: 8.7
Space group: I-42d

Unit cell a=8.2059 b=8.2059 c=8.2059 alpha=145.96 beta=145.96 gamma=48.90
Last column: nearest neighbours and their distance in Å.
Fractional positions:
Bi1 0.0000 0.0000 0.0000  4 Pd 2.78
Bi2 0.7500 0.2500 0.5000  4 Pd 2.78
P1 0.2500 0.7500 0.5000  4 Pd 2.33
P2 0.5000 0.5000 0.0000  4 Pd 2.33
Pd1 0.2249 0.6250 0.0999  2 P 2.33
Pd2 0.3750 0.4749 0.5999  2 P 2.33
Pd3 0.5251 0.1250 0.9001  2 P 2.33
Pd4 0.8750 0.7751 0.4001  2 P 2.33

***

[6]
PbSe2Br: relaxed, PBE.

Fermi-level density of states in states/eV per atom: 0.817
Formation energy (no corrections) in kJ/mol of formula units: 83.5
Size of the total moment in μB per formula unit: 0.0
Final energy in eV/atom: -2.871
Theoretical density in g cm⁻³: 7.3
Space group: P4/mmm
Relative energy among the computed polymorphs in meV/atom: 552.2

Unit cell a=5.2958 b=5.2958 c=3.6314 alpha=90.00 beta=90.00 gamma=90.00
Last column: nearest neighbours and their distance in Å.
Fractional positions:
Pb1 0.0000 0.0000 0.0000  8 Se 3.21
Se1 0.0000 0.5000 0.5000  4 Br 3.21, 4 Pb 3.21
Se2 0.5000 0.0000 0.5000  4 Br 3.21, 4 Pb 3.21
Br1 0.5000 0.5000 0.0000  8 Se 3.21

***

[7]
Ce2In3Au6: relaxed, PBE.

Fermi-level density of states in states/eV per atom: 1.408
Calculated formation energy in eV per atom: -0.412
Size of the total moment in μB per formula unit: 1.7
Final energy in eV/atom: -4.026
Theoretical density in g cm⁻³: 11.4
Space group: Cmmm

Unit cell a=8.2378 b=8.2378 c=4.0561 alpha=90.00 beta=90.00 gamma=107.09
Last column: nearest neighbours and their distance in Å.
Fractional positions:
Ce1 0.1993 0.1993 0.0000  8 Au 3.06-3.18
Ce2 0.8007 0.8007 0.0000  8 Au 3.06-3.18
In1 0.2681 0.7319 0.0000  6 Au 2.90-2.99
In2 0.5000 0.5000 0.5000  4 Au 2.83
In3 0.7319 0.2681 0.0000  6 Au 2.90-2.99
Au1 0.1115 0.8885 0.5000  2 In 2.90, 3 Au 2.96-3.01, 4 Ce 3.18
Au2 0.1468 0.4569 0.5000  2 Au 2.71-3.01, 3 In 2.83-2.99
Au3 0.4569 0.1468 0.5000  2 Au 2.71-3.01, 3 In 2.83-2.99
Au4 0.5431 0.8532 0.5000  2 Au 2.71-3.01, 3 In 2.83-2.99
Au5 0.8532 0.5431 0.5000  2 Au 2.71-3.01, 3 In 2.83-2.99
Au6 0.8885 0.1115 0.5000  2 In 2.90, 3 Au 2.96-3.01, 4 Ce 3.18

***

[8]
U3S3O: relaxed, PBE.

Fermi-level density of states in states/eV per atom: 1.572
Formation energy (no corrections) in kJ/mol of formula units: -981.1
Size of the total moment in μB per formula unit: 10.0
Final energy in eV/atom: -8.768
Theoretical density in g cm⁻³: 9.3
Space group: R3m

Unit cell a=5.4265 b=5.4265 c=5.4265 alpha=102.29 beta=102.29 gamma=102.29
Last column: nearest neighbours and their distance in Å.
Fractional positions:
U1 0.1861 0.1861 0.6277  1 O 2.26
U2 0.1861 0.6277 0.1861  1 O 2.26
U3 0.6277 0.1861 0.1861  1 O 2.26
S1 0.3250 0.7541 0.7541  5 U 2.78-2.90
S2 0.7541 0.3250 0.7541  5 U 2.78-2.90
S3 0.7541 0.7541 0.3250  5 U 2.78-2.90
O1 0.2391 0.2391 0.2391  3 U 2.26

***

[9]
LaTa: relaxed, PBE.

Fermi-level density of states in states/eV per atom: 1.818
Calculated formation energy in eV per atom: 0.800
Size of the total moment in μB per formula unit: 0.0
Final energy in eV/atom: -7.590
Theoretical density in g cm⁻³: 8.5
Space group: P6_3/mmc
Relative energy among the computed polymorphs in meV/atom: 520.9

Unit cell a=5.3671 b=5.3671 c=4.9996 alpha=90.00 beta=90.00 gamma=120.00
Last column: nearest neighbours and their distance in Å.
Fractional positions:
La1 0.3333 0.6667 0.2500  6 Ta 3.34
La2 0.6667 0.3333 0.7500  6 Ta 3.34
Ta1 0.0000 0.0000 0.0000  2 Ta 2.50
Ta2 0.0000 0.0000 0.5000  2 Ta 2.50

***

[10]
BaOsW3: relaxed, PBE.

Fermi-level density of states in states/eV per atom: 1.466
Calculated formation energy in eV per atom: 1.693
Size of the total moment in μB per formula unit: 1.6
Final energy in eV/atom: -8.709
Theoretical density in g cm⁻³: 12.2
Space group: Pm-3m
Relative energy among the computed polymorphs in meV/atom: 0.0

Unit cell a=4.9322 b=4.9322 c=4.9322 alpha=90.00 beta=90.00 gamma=90.00
Last column: nearest neighbours and their distance in Å.
Fractional positions:
Ba1 0.0000 0.0000 0.0000  12 W 3.49
Os1 0.5000 0.5000 0.5000  6 W 2.47
W1 0.0000 0.5000 0.5000  2 Os 2.47
W2 0.5000 0.0000 0.5000  2 Os 2.47
W3 0.5000 0.5000 0.0000  2 Os 2.47